# 1
DFT (GGA-PBE) results for a relaxed structure of KLiSnF4.

Structure (extended XYZ):
```
14
Lattice="6.194 0.000 -0.492 0.000 5.919 0.000 -3.132 0.000 7.087" Properties=species:S:1:pos:R:3 pbc="T T T"
K 1.290 4.439 6.421
K 1.773 1.480 0.174
Li 0.819 4.439 1.861
Li 2.243 1.480 4.735
Sn 3.470 4.439 3.450
Sn -0.408 1.480 3.145
F 3.323 2.981 5.041
F -0.260 0.022 1.554
F -0.260 2.938 1.554
F 3.323 5.897 5.041
F 2.542 4.439 1.183
F 0.520 1.480 5.412
F 1.366 4.439 3.687
F 1.696 1.480 2.908
```

**Formation energy (no corrections)**: -2.6067 eV/atom
**Volume**: 250.71 Å³/cell
**Space group**: P2_1/m, No. 11

=====

# 2
DFT (GGA-PBE) results for a relaxed structure of KLiSn2F6.

Structure (extended XYZ):
```
10
Lattice="6.785 0.748 -0.318 4.031 5.832 -0.339 3.389 2.035 4.912" Properties=species:S:1:pos:R:3 pbc="T T T"
K 10.468 6.520 2.724
Li 3.857 2.550 -0.142
Sn 7.022 4.261 1.782
Sn 9.982 2.829 4.357
F 5.516 2.053 0.883
F 5.650 5.816 1.096
F 10.051 5.001 0.324
F 8.024 5.603 3.171
F 7.911 2.796 3.627
F 5.721 4.199 3.435
```

**Formation energy (no corrections)**: -2.5050 eV/atom
**Volume**: 187.05 Å³/cell
**Space group**: P1, No. 1

=====

# 3
DFT (GGA-PBE) results for a relaxed structure of K2SrLi2F7.

Structure (extended XYZ):
```
12
Lattice="-2.456 -0.541 -3.061 2.948 -1.645 -2.074 -2.384 -10.570 1.230" Properties=species:S:1:pos:R:3 pbc="T T T"
K -0.463 -5.624 -3.755
K -1.430 -7.131 -0.149
Sr 0.000 0.000 0.000
Li -1.627 -9.819 -2.077
Li -0.266 -2.936 -1.827
F 0.246 -1.093 -2.567
F -0.761 -4.719 -1.112
F -1.132 -8.035 -2.793
F -1.424 -2.954 -3.459
F 1.277 -3.506 -2.965
F -3.170 -9.249 -0.939
F -0.469 -9.801 -0.446
```

**Formation energy (no corrections)**: -2.8612 eV/atom
**Volume**: 165.46 Å³/cell
**Space group**: C2/m, No. 12

=====

# 4
DFT (GGA-PBE) results for a relaxed structure of KLi2TaF8.

Structure (extended XYZ):
```
12
Lattice="4.944 0.000 0.000 2.472 4.282 0.000 2.472 1.427 7.942" Properties=species:S:1:pos:R:3 pbc="T T T"
K 0.000 0.000 0.000
Li 7.416 4.282 6.403
Li 2.472 1.427 1.539
Ta 4.944 2.854 3.971
F 4.944 2.854 0.200
F 4.944 2.854 7.742
F 4.085 1.615 2.762
F 6.447 2.978 5.179
F 4.085 4.094 5.179
F 4.300 4.218 2.762
F 6.447 2.730 2.762
F 4.300 1.491 5.179
```

**Formation energy (no corrections)**: -2.9481 eV/atom
**Volume**: 168.11 Å³/cell
**Space group**: R32, No. 155

=====

# 5
DFT (GGA-PBE) results for a relaxed structure of K2LiTcF6.

Structure (extended XYZ):
```
20
Lattice="-0.306 -4.698 -3.560 4.904 -2.981 -1.381 0.208 -8.304 6.047" Properties=species:S:1:pos:R:3 pbc="T T T"
K 4.089 -9.884 -1.988
K 0.716 -6.099 3.094
K 3.475 -12.546 1.578
K 1.330 -3.437 -0.472
Li 2.780 -6.357 -1.636
Li 2.026 -9.626 2.742
Tc 0.000 0.000 0.000
Tc 2.403 -7.991 0.553
F 1.687 -8.297 -1.329
F 4.186 -7.473 -0.284
F 1.834 -6.044 0.378
F 3.118 -7.686 2.435
F 0.620 -8.510 1.390
F 2.971 -9.939 0.728
F 0.966 -11.250 2.485
F 3.619 -10.375 3.594
F 1.122 -8.858 4.298
F 3.839 -4.733 -1.378
F 1.187 -5.608 -2.488
F 3.683 -7.125 -3.191
```

**Formation energy (no corrections)**: -2.4845 eV/atom
**Volume**: 292.46 Å³/cell
**Space group**: R-3m, No. 166

=====

# 6
DFT (GGA-PBE) results for a relaxed structure of KLiTcF6.

Structure (extended XYZ):
```
18
Lattice="5.386 0.000 0.000 -2.693 4.665 0.000 0.000 0.000 11.540" Properties=species:S:1:pos:R:3 pbc="T T T"
K 0.000 0.000 0.000
K 0.000 0.000 5.770
Li 0.000 3.110 2.885
Li 2.693 1.555 8.655
Tc 2.693 1.555 2.885
Tc 0.000 3.110 8.655
F 1.768 2.905 1.787
F 4.325 1.681 1.787
F -0.707 4.586 7.557
F -1.632 2.984 9.754
F 1.061 1.681 3.983
F 3.619 2.905 3.983
F 0.707 4.586 9.754
F 3.400 0.078 3.983
F -0.925 1.759 7.557
F 1.986 0.078 1.787
F 1.632 2.984 7.557
F 0.925 1.759 9.754
```

**Formation energy (no corrections)**: -2.5608 eV/atom
**Volume**: 289.97 Å³/cell
**Space group**: P-31c, No. 163

=====

# 7
DFT (GGA-PBE) results for a relaxed structure of KLi2TcF8.

Structure (extended XYZ):
```
12
Lattice="5.078 0.000 0.000 -2.539 4.398 0.000 0.000 0.000 8.035" Properties=species:S:1:pos:R:3 pbc="T T T"
K 0.000 0.000 0.000
Li 2.539 1.466 1.928
Li 0.000 2.932 6.107
Tc 0.000 0.000 4.018
F 0.000 2.932 7.886
F 0.858 1.273 2.857
F 3.547 0.106 2.857
F 2.539 1.466 0.150
F -1.008 4.292 5.178
F 1.681 3.124 5.178
F -0.674 1.379 5.178
F 3.213 3.018 2.857
```

**Formation energy (no corrections)**: -2.3859 eV/atom
**Volume**: 179.44 Å³/cell
**Space group**: P-3, No. 147

=====

# 8
DFT (GGA-PBE) results for a relaxed structure of KLi2TeF8.

Structure (extended XYZ):
```
12
Lattice="-0.515 5.104 -0.011 -4.633 2.109 -0.633 -2.806 2.311 7.461" Properties=species:S:1:pos:R:3 pbc="T T T"
K -3.977 4.762 3.409
Li -2.008 2.379 1.844
Li -5.945 7.144 4.973
Te 0.000 0.000 0.000
F -2.257 2.358 3.595
F -1.985 4.110 0.963
F -5.697 7.166 3.222
F -3.820 6.546 0.732
F -4.133 2.977 6.085
F -4.989 3.726 0.532
F -2.965 5.797 6.286
F -5.969 5.414 5.854
```

**Formation energy (no corrections)**: -2.3264 eV/atom
**Volume**: 176.66 Å³/cell
**Space group**: R-3, No. 148

=====

# 9
DFT (GGA-PBE) results for a relaxed structure of KLiTeF6.

Structure (extended XYZ):
```
9
Lattice="5.582 0.002 0.001 2.793 4.833 -0.001 0.001 -0.001 5.756" Properties=species:S:1:pos:R:3 pbc="T T T"
K 0.001 -0.001 5.756
Li 5.583 3.223 2.878
Te 2.793 1.612 2.877
F 1.048 1.810 1.728
F 2.094 0.004 4.028
F 4.534 1.812 4.030
F 1.747 3.019 4.028
F 3.838 3.021 1.727
F 6.283 4.834 1.728
```

**Formation energy (no corrections)**: -2.4957 eV/atom
**Volume**: 155.28 Å³/cell
**Space group**: P312, No. 149

=====

# 10
DFT (GGA-PBE) results for a relaxed structure of KLiThF6.

Structure (extended XYZ):
```
18
Lattice="5.439 0.000 0.000 0.000 5.439 0.000 0.000 0.000 10.748" Properties=species:S:1:pos:R:3 pbc="T T T"
K 2.719 2.719 5.425
K 0.000 0.000 0.051
Li 2.719 2.719 8.908
Li 0.000 0.000 3.534
Th 2.719 2.719 1.811
Th 0.000 0.000 7.185
F 0.929 4.510 5.363
F 4.510 0.929 5.363
F 1.790 1.790 10.737
F 3.648 3.648 10.737
F 1.136 4.303 2.077
F 4.303 1.136 2.077
F 1.584 1.584 7.452
F 3.855 3.855 7.452
F 4.250 1.189 8.671
F 1.189 4.250 8.671
F 3.908 3.908 3.296
F 1.531 1.531 3.296
```

**Formation energy (no corrections)**: -3.5286 eV/atom
**Volume**: 317.94 Å³/cell
**Space group**: P4_2nm, No. 102

=====

# 11
DFT (GGA-PBE) results for a relaxed structure of K2Li3ThF12.

Structure (extended XYZ):
```
18
Lattice="-1.701 1.572 -6.449 -0.071 -5.285 -4.361 -6.231 -2.076 -1.953" Properties=species:S:1:pos:R:3 pbc="T T T"
K -4.807 -3.477 -7.665
K -3.196 -2.312 -5.097
Li -0.851 0.786 -3.224
Li -0.036 -2.643 -2.180
Li -3.116 -1.038 -0.976
Th 0.000 0.000 0.000
F -5.939 -2.754 -4.407
F -4.044 -4.021 -10.048
F -6.086 -5.666 -8.020
F -3.066 -0.440 -7.258
F -6.822 -2.574 -8.962
F -2.032 -4.789 -5.934
F -2.065 -3.035 -8.355
F -3.960 -1.768 -2.714
F -1.917 -0.123 -4.742
F -4.937 -5.349 -5.504
F -1.182 -3.215 -3.800
F -5.971 -1.000 -6.828
```

**Formation energy (no corrections)**: -2.6786 eV/atom
**Volume**: 251.76 Å³/cell
**Space group**: R-3m, No. 166

=====

# 12
DFT (GGA-PBE) results for a relaxed structure of KLi2ThF8.

Structure (extended XYZ):
```
12
Lattice="-1.754 -5.059 -1.139 1.800 -1.721 4.875 -5.367 4.696 0.566" Properties=species:S:1:pos:R:3 pbc="T T T"
K -3.550 -1.877 0.648
Li 0.023 -3.390 1.868
Li -1.772 -0.208 3.655
Th 0.000 0.000 0.000
F -0.410 -4.544 3.341
F -0.841 -1.920 0.986
F -3.421 -1.135 3.240
F -2.070 1.195 4.956
F -1.085 0.590 2.030
F -0.515 -1.481 4.393
F -3.911 2.280 3.258
F -5.483 0.014 1.020
```

**Formation energy (no corrections)**: -3.1655 eV/atom
**Volume**: 180.31 Å³/cell
**Space group**: I-4, No. 82

=====

Number 1: D(E_F) 0.00 states/eV per cell. Number 2: D(E_F) 0.00 states/eV per cell. Number 3: D(E_F) 16.59 states/eV per cell. Number 4: D(E_F) 0.00 states/eV per cell. Number 5: D(E_F) 11.43 states/eV per cell. Number 6: D(E_F) 0.00 states/eV per cell. Number 7: D(E_F) 14.50 states/eV per cell. Number 8: D(E_F) 6.70 states/eV per cell. Number 9: D(E_F) 0.00 states/eV per cell. Number 10: D(E_F) 0.00 states/eV per cell. Number 11: D(E_F) 16.32 states/eV per cell. Number 12: D(E_F) 13.07 states/eV per cell.